# 1
Compound: KLiNiTe
Source: the Open Quantum Materials Database
Functional: PBE
Structure: optimized geometry

Calculated values
Energy above the lowest structure with this stoichiometry: 46 kJ/mol of formula units
Space group: No. 216

Cell and atoms, written as POSCAR:
```
KLiNiTe
1.0
6.964 0.000 0.000
0.000 6.964 0.000
0.000 0.000 6.964
K Li Ni Te
4 4 4 4
Direct
0.000 0.000 0.000 K
0.000 0.500 0.500 K
0.500 0.000 0.500 K
0.500 0.500 0.000 K
0.250 0.250 0.250 Li
0.250 0.750 0.750 Li
0.750 0.250 0.750 Li
0.750 0.750 0.250 Li
0.000 0.000 0.500 Ni
0.000 0.500 0.000 Ni
0.500 0.000 0.000 Ni
0.500 0.500 0.500 Ni
0.250 0.250 0.750 Te
0.250 0.750 0.250 Te
0.750 0.250 0.250 Te
0.750 0.750 0.750 Te
```

# 2
Compound: KLiNiTe
Source: the Open Quantum Materials Database
Functional: PBE
Structure: optimized geometry

Calculated values
Energy above the lowest structure with this stoichiometry: 94 kJ/mol of formula units
Space group: No. 216

Cell and atoms, written as POSCAR:
```
KLiNiTe
1.0
7.281 0.000 0.000
0.000 7.281 0.000
0.000 0.000 7.281
K Li Ni Te
4 4 4 4
Direct
0.000 0.000 0.000 K
0.000 0.500 0.500 K
0.500 0.000 0.500 K
0.500 0.500 0.000 K
0.000 0.000 0.500 Li
0.000 0.500 0.000 Li
0.500 0.000 0.000 Li
0.500 0.500 0.500 Li
0.250 0.250 0.750 Ni
0.250 0.750 0.250 Ni
0.750 0.250 0.250 Ni
0.750 0.750 0.750 Ni
0.250 0.250 0.250 Te
0.250 0.750 0.750 Te
0.750 0.250 0.750 Te
0.750 0.750 0.250 Te
```

# 3
Compound: KLiNp
Source: the Open Quantum Materials Database
Functional: PBE
Structure: optimized geometry

Calculated values
Energy above the lowest structure with this stoichiometry: 0 kJ/mol of formula units
Space group: No. 216

Cell and atoms, written as POSCAR:
```
KLiNp
1.0
7.874 0.000 0.000
0.000 7.874 0.000
0.000 0.000 7.874
K Li Np
4 4 4
Direct
0.000 0.000 0.000 K
0.000 0.500 0.500 K
0.500 0.000 0.500 K
0.500 0.500 0.000 K
0.250 0.250 0.250 Li
0.250 0.750 0.750 Li
0.750 0.250 0.750 Li
0.750 0.750 0.250 Li
0.000 0.000 0.500 Np
0.000 0.500 0.000 Np
0.500 0.000 0.000 Np
0.500 0.500 0.500 Np
```

# 4
Compound: KLiNpSe3
Source: the Open Quantum Materials Database
Functional: PBE
Structure: optimized geometry

Calculated values
Space group: No. 63
Raw total energy: -5.627 eV/atom

Cell and atoms, written as POSCAR:
```
KLiNpSe3
1.0
2.112 -7.117 0.000
2.112 7.117 0.000
0.000 0.000 10.864
K Li Np Se
2 2 2 6
Direct
0.240 0.760 0.750 K
0.760 0.240 0.250 K
0.038 0.962 0.250 Li
0.962 0.038 0.750 Li
0.500 0.500 0.000 Np
0.500 0.500 0.500 Np
0.127 0.873 0.051 Se
0.127 0.873 0.449 Se
0.442 0.558 0.250 Se
0.558 0.442 0.750 Se
0.873 0.127 0.551 Se
0.873 0.127 0.949 Se
```

# 5
Compound: KLiZnP2O7
Source: the Open Quantum Materials Database
Functional: PBE
Structure: optimized geometry

Calculated values
Space group: No. 26
Raw total energy: -6.345 eV/atom

Cell and atoms, written as POSCAR:
```
KLiZnP2O7
1.0
12.366 0.000 0.000
0.000 5.022 0.000
0.000 0.000 10.129
K Li Zn P O
4 4 4 8 28
Direct
0.000 0.003 0.000 K
0.000 0.997 0.500 K
0.500 0.490 0.280 K
0.500 0.510 0.780 K
0.252 0.463 0.492 Li
0.252 0.537 0.992 Li
0.748 0.463 0.492 Li
0.748 0.537 0.992 Li
0.249 0.035 0.784 Zn
0.249 0.965 0.284 Zn
0.751 0.035 0.784 Zn
0.751 0.965 0.284 Zn
0.117 0.476 0.232 P
0.117 0.524 0.732 P
0.384 0.035 0.040 P
0.384 0.965 0.540 P
0.616 0.035 0.040 P
0.616 0.965 0.540 P
0.883 0.476 0.232 P
0.883 0.524 0.732 P
0.000 0.442 0.795 O
0.000 0.558 0.295 O
0.122 0.171 0.241 O
0.122 0.829 0.741 O
0.124 0.417 0.594 O
0.124 0.583 0.094 O
0.198 0.394 0.828 O
0.198 0.606 0.328 O
0.302 0.113 0.452 O
0.302 0.887 0.952 O
0.376 0.334 0.032 O
0.376 0.666 0.532 O
0.380 0.076 0.682 O
0.380 0.924 0.182 O
0.500 0.061 0.481 O
0.500 0.939 0.981 O
0.620 0.076 0.682 O
0.620 0.924 0.182 O
0.624 0.334 0.032 O
0.624 0.666 0.532 O
0.698 0.113 0.452 O
0.698 0.887 0.952 O
0.802 0.394 0.828 O
0.802 0.606 0.328 O
0.876 0.417 0.594 O
0.876 0.583 0.094 O
0.878 0.171 0.241 O
0.878 0.829 0.741 O
```

# 6
Compound: K3LiPtO4
Source: the Open Quantum Materials Database
Functional: PBE
Structure: optimized geometry

Calculated values
Space group: No. 15
Raw total energy: -4.696 eV/atom

Cell and atoms, written as POSCAR:
```
K3LiPtO4
1.0
5.345 -4.785 0.000
5.345 4.785 0.000
-1.444 0.000 5.657
K Li Pt O
6 2 2 8
Direct
0.096 0.904 0.750 K
0.255 0.433 0.520 K
0.433 0.255 0.020 K
0.567 0.745 0.980 K
0.745 0.567 0.480 K
0.904 0.096 0.250 K
0.230 0.770 0.250 Li
0.770 0.230 0.750 Li
0.000 0.500 0.000 Pt
0.500 0.000 0.500 Pt
0.022 0.289 0.736 O
0.240 0.589 0.968 O
0.289 0.022 0.236 O
0.411 0.760 0.532 O
0.589 0.240 0.468 O
0.711 0.978 0.764 O
0.760 0.411 0.032 O
0.978 0.711 0.264 O
```

# 7
Compound: K2RbLi2ReO6
Source: the Open Quantum Materials Database
Functional: PBE
Structure: optimized geometry

Calculated values
Space group: No. 12
Raw total energy: -5.743 eV/atom

Cell and atoms, written as POSCAR:
```
K2RbLi2ReO6
1.0
2.809 -4.781 0.000
2.809 4.781 0.000
-1.625 0.000 5.985
K Rb Li Re O
2 1 2 1 6
Direct
0.178 0.822 0.000 K
0.822 0.178 0.000 K
0.500 0.500 0.000 Rb
0.318 0.682 0.500 Li
0.682 0.318 0.500 Li
0.000 0.000 0.500 Re
0.055 0.346 0.673 O
0.213 0.213 0.307 O
0.346 0.055 0.673 O
0.654 0.945 0.327 O
0.787 0.787 0.693 O
0.945 0.654 0.327 O
```

# 8
Compound: K2Rb2LiReO6
Source: the Open Quantum Materials Database
Functional: PBE
Structure: optimized geometry

Calculated values
Space group: No. 12
Raw total energy: -5.637 eV/atom

Cell and atoms, written as POSCAR:
```
K2Rb2LiReO6
1.0
3.115 -5.538 0.000
3.115 5.538 0.000
-3.049 0.000 5.515
K Rb Li Re O
2 2 1 1 6
Direct
0.168 0.832 0.000 K
0.832 0.168 0.000 K
0.177 0.823 0.500 Rb
0.823 0.177 0.500 Rb
0.500 0.500 0.500 Li
0.500 0.500 0.000 Re
0.154 0.154 0.829 O
0.374 0.614 0.220 O
0.386 0.626 0.780 O
0.614 0.374 0.220 O
0.626 0.386 0.780 O
0.846 0.846 0.171 O
```

# 9
Compound: K2Li3ReO6
Source: the Open Quantum Materials Database
Functional: PBE
Structure: optimized geometry

Calculated values
Energy above the lowest structure with this stoichiometry: 22 kJ/mol of formula units
Space group: No. 12

Cell and atoms, written as POSCAR:
```
K2Li3ReO6
1.0
2.579 -5.376 0.000
2.579 5.376 0.000
-2.276 0.000 5.298
K Li Re O
2 3 1 6
Direct
0.183 0.817 0.000 K
0.817 0.183 0.000 K
0.380 0.620 0.500 Li
0.500 0.500 0.000 Li
0.620 0.380 0.500 Li
0.000 0.000 0.500 Re
0.130 0.377 0.706 O
0.213 0.213 0.294 O
0.377 0.130 0.706 O
0.623 0.870 0.294 O
0.787 0.787 0.706 O
0.870 0.623 0.294 O
```

# 10
Compound: KLi4ReO6
Source: the Open Quantum Materials Database
Functional: PBE
Structure: optimized geometry

Calculated values
Space group: No. 5
Raw total energy: -6.015 eV/atom

Cell and atoms, written as POSCAR:
```
KLi4ReO6
1.0
2.737 -5.007 0.000
2.737 5.007 0.000
-1.740 0.000 4.811
K Li Re O
1 4 1 6
Direct
0.000 0.000 0.000 K
0.185 0.815 0.500 Li
0.445 0.555 0.500 Li
0.664 0.336 0.000 Li
0.810 0.190 0.500 Li
0.326 0.674 0.000 Re
0.092 0.478 0.225 O
0.289 0.353 0.759 O
0.438 0.034 0.237 O
0.522 0.908 0.775 O
0.647 0.711 0.241 O
0.966 0.562 0.763 O
```

# 11
Compound: K2Li3ReO6
Source: the Open Quantum Materials Database
Functional: PBE
Structure: optimized geometry

Calculated values
Energy above the lowest structure with this stoichiometry: 0 kJ/mol of formula units
Space group: No. 12

Cell and atoms, written as POSCAR:
```
K2Li3ReO6
1.0
2.879 -5.683 0.000
2.879 5.683 0.000
-1.897 0.000 4.660
K Li Re O
2 3 1 6
Direct
0.181 0.819 0.000 K
0.819 0.181 0.000 K
0.000 0.000 0.500 Li
0.392 0.608 0.500 Li
0.608 0.392 0.500 Li
0.500 0.500 0.000 Re
0.182 0.417 0.742 O
0.286 0.286 0.211 O
0.417 0.182 0.742 O
0.583 0.818 0.258 O
0.714 0.714 0.789 O
0.818 0.583 0.258 O
```

# 12
Compound: KLiSmO2
Source: the Open Quantum Materials Database
Functional: PBE
Structure: optimized geometry

Calculated values
Space group: No. 12
Raw total energy: -5.481 eV/atom

Cell and atoms, written as POSCAR:
```
KLiSmO2
1.0
6.519 -1.781 0.000
6.519 1.781 0.000
-4.330 0.000 7.550
K Li Sm O
2 2 2 4
Direct
0.125 0.125 0.185 K
0.875 0.875 0.815 K
0.336 0.336 0.529 Li
0.664 0.664 0.471 Li
0.112 0.112 0.753 Sm
0.888 0.888 0.247 Sm
0.205 0.205 0.603 O
0.497 0.497 0.267 O
0.503 0.503 0.733 O
0.795 0.795 0.397 O
```